1.
Np2HSe3 | PBE-GGA | relaxed

Lattice parameters (Å, degrees): 10.9472 3.9162 11.2268 90.00 90.00 90.00
Fractional positions:
Np1 0.0313 0.2500 0.1799
Np2 0.1957 0.2500 0.5186
Np3 0.3043 0.7500 0.0186
Np4 0.4687 0.7500 0.6799
Np5 0.5313 0.2500 0.3201
Np6 0.6957 0.2500 0.9814
Np7 0.8043 0.7500 0.4814
Np8 0.9687 0.7500 0.8201
H1 0.1250 0.7500 0.1273
H2 0.3750 0.2500 0.6273
H3 0.6250 0.7500 0.3727
H4 0.8750 0.2500 0.8727
Se1 0.0572 0.7500 0.3752
Se2 0.1235 0.2500 0.9401
Se3 0.2092 0.7500 0.7048
Se4 0.2908 0.2500 0.2048
Se5 0.3765 0.7500 0.4401
Se6 0.4428 0.2500 0.8752
Se7 0.5572 0.7500 0.1248
Se8 0.6235 0.2500 0.5599
Se9 0.7092 0.7500 0.7952
Se10 0.7908 0.2500 0.2952
Se11 0.8765 0.7500 0.0599
Se12 0.9428 0.2500 0.6248

Results
Final energy, eV for the cell shown: -183.62
Magnetization, μB per formula unit: 7.000
Space-group type: Pnma, No. 62

2.
In2TeRu2 | PBE-GGA | relaxed

Lattice parameters (Å, degrees): 7.5447 7.5447 3.3789 90.00 90.00 90.00
Fractional positions:
In1 0.1454 0.3546 0.0000
In2 0.3546 0.8546 0.0000
In3 0.6454 0.1454 0.0000
In4 0.8546 0.6454 0.0000
Te1 0.0000 0.0000 0.5000
Te2 0.5000 0.5000 0.5000
Ru1 0.1527 0.6527 0.5000
Ru2 0.3473 0.1527 0.5000
Ru3 0.6527 0.8473 0.5000
Ru4 0.8473 0.3473 0.5000

Results
Formation energy (no corrections), meV/atom: 194
Magnetization, μB per formula unit: 0.000
Space-group type: P4/mbm, No. 127

3.
NbCNO2 | PBE-GGA | relaxed

Lattice parameters (Å, degrees): 3.8985 3.8985 4.2641 90.00 90.00 90.00
Fractional positions:
Nb1 0.0000 0.0000 0.0000
C1 0.5000 0.5000 0.5000
N1 0.0000 0.0000 0.5000
O1 0.0000 0.5000 0.0000
O2 0.5000 0.0000 0.0000

Results
Formation energy (no corrections), meV/atom: 588
Magnetization, μB per formula unit: 0.000
Space-group type: P4/mmm, No. 123

4.
Rb2AcBO4 | PBE-GGA | relaxed

Lattice parameters (Å, degrees): 14.1987 13.2534 6.4376 84.79 68.37 26.84
Fractional positions:
Rb1 0.0638 0.0638 0.6862
Rb2 0.3138 0.3138 0.9362
Rb3 0.6862 0.6862 0.0638
Rb4 0.9362 0.9362 0.3138
Ac1 0.1250 0.1250 0.1250
Ac2 0.8750 0.8750 0.8750
B1 0.3750 0.3750 0.3750
B2 0.6250 0.6250 0.6250
O1 0.1077 0.5753 0.4828
O2 0.3342 0.4828 0.5753
O3 0.4247 0.8923 0.6658
O4 0.4828 0.3342 0.1077
O5 0.5172 0.6658 0.8923
O6 0.5753 0.1077 0.3342
O7 0.6658 0.5172 0.4247
O8 0.8923 0.4247 0.5172

Results
Formation energy (no corrections), meV/atom: -1887
Magnetization, μB per formula unit: 0.000
Space-group type: Fddd, No. 70